Crystalline Mn3Be at its relaxed geometry. Source: Alexandria, functional PBE.

a = 4.4965 Å, b = 4.4965 Å, c = 4.4965 Å
α = 116.88°, β = 116.88°, γ = 116.88°
Positions (direct):
Mn 0.0000 0.5000 0.5000
Mn 0.5000 0.0000 0.5000
Mn 0.5000 0.5000 0.0000
Be 0.0000 0.0000 0.0000

Summary:
DOS(E_F): 4.789 states/eV/cell
Total energy: -0.285 hartree per atom
Formation enthalpy at 0 K: 0.18 eV/f.u.
Space group: R-3m (166)
Size of the total moment: 2.21 Bohr magnetons per cell